Material: Ce2ThIn
Method: DFT, PBE-GGA
State: optimized geometry

a b c (Å): 4.532 4.381 11.729
angles (deg): 90.00 98.75 90.00
Space group P2_1/m (No. 11)
Inequivalent atoms, fractional coordinates:
Ce  0.003  0.250  0.388 (multiplicity 2)
Ce  0.395  0.750  0.386 (multiplicity 2)
Th  0.299  0.250  0.100 (multiplicity 2)
In  0.173  0.250  0.819 (multiplicity 2)

Its crystal system is monoclinic. Its energy of formation from the pure elements is -0.1052 eV per atom. The density of states at the Fermi level comes out at 16.5 states/eV/cell.